A relaxed CdGa2Br2Cl2 crystal, computed with GGA-PBE.

The magnetization comes out at 0.0 Bohr magnetons per cell. The raw total energy comes out at -2.758 eV per atom. The value obtained for the uncorrected formation energy is -0.757 eV/atom.

The structure belongs to space group C2/m (No. 12); the cell edges are 14.8975, 4.0612 and 7.9456 Å and the angles 90.00°, 119.43° and 90.00°. The asymmetric unit holds Cd at (0.0000, 0.0000, 0.0000), Ga at (0.1463, 0.0000, 0.5700), Br at (0.0317, 0.5000, 0.7915) and Cl at (0.2027, 0.0000, 0.2764).

---

A relaxed CdInBrCl4 crystal, computed with GGA-PBE.

The magnetization comes out at 0.0 Bohr magnetons per cell. The raw total energy comes out at -2.803 eV per atom. The value obtained for the uncorrected formation energy is -0.987 eV/atom.

The structure belongs to space group C2/m (No. 12); the cell edges are 15.5110, 7.5843 and 10.3407 Å and the angles 90.00°, 113.32° and 90.00°. The asymmetric unit holds Cd at (0.1172, 0.0000, 0.1378), In at (0.2022, 0.5000, 0.3178), Br at (0.0480, 0.0000, 0.8521), Cl at (0.0457, 0.5000, 0.2895), Cl at (0.1699, 0.0000, 0.4587) and Cl at (0.2357, 0.2547, 0.1881).

---

A relaxed CdIn2Br2Cl2 crystal, computed with GGA-PBE.

The magnetization comes out at 0.0 Bohr magnetons per cell. The raw total energy comes out at -2.747 eV per atom. The value obtained for the uncorrected formation energy is -0.828 eV/atom.

The structure belongs to space group P-1 (No. 2); the cell edges are 4.1506, 8.0944 and 8.1384 Å and the angles 119.54°, 90.03° and 104.81°. The asymmetric unit holds Cd at (0.0000, 0.0000, 0.0000), In at (0.1474, 0.2923, 0.5880), Br at (0.4706, 0.9408, 0.2029) and Cl at (0.1930, 0.3867, 0.2685).

---

A relaxed CdInBr2Cl crystal, computed with GGA-PBE.

Its distance to the lowest polymorph of the same formula is 24 meV per atom. The magnetization comes out at 0.0 Bohr magnetons per cell. The raw total energy comes out at -2.534 eV per atom. The value obtained for the uncorrected formation energy is -0.764 eV/atom.

The structure belongs to space group P4/mmm (No. 123); the cell edges are 5.5438, 5.5438 and 5.1926 Å and the angles 90.00°, 90.00° and 90.00°. The asymmetric unit holds Cd at (0.0000, 0.0000, 0.0000), In at (0.5000, 0.5000, 0.5000), Br at (0.0000, 0.5000, 0.0000) and Cl at (0.0000, 0.0000, 0.5000).

---

A relaxed CdIn2Br3Cl crystal, computed with GGA-PBE.

The magnetization comes out at 0.0 Bohr magnetons per cell. The raw total energy comes out at -2.638 eV per atom. The value obtained for the uncorrected formation energy is -0.744 eV/atom.

The structure belongs to space group Immm (No. 71); the cell edges are 5.2745, 5.5507 and 16.3237 Å and the angles 90.00°, 90.00° and 90.00°. The asymmetric unit holds Cd at (0.0000, 0.0000, 0.0000), In at (0.0000, 0.0000, 0.3609), Br at (0.0000, 0.0000, 0.1691), Br at (0.0000, 0.5000, 0.0000) and Cl at (0.0000, 0.5000, 0.5000).

---

A relaxed CdInBr2Cl crystal, computed with GGA-PBE.

Its distance to the lowest polymorph of the same formula is 0 meV per atom. The magnetization comes out at 0.0 Bohr magnetons per cell. The raw total energy comes out at -2.558 eV per atom. The value obtained for the uncorrected formation energy is -0.788 eV/atom.

The structure belongs to space group I4cm (No. 108); the cell edges are 7.6773, 7.6773 and 10.6541 Å and the angles 90.00°, 90.00° and 90.00°. The asymmetric unit holds Cd at (0.0000, 0.0000, 0.0000), In at (0.0000, 0.5000, 0.2515), Br at (0.1881, 0.3119, 0.0000) and Cl at (0.0000, 0.0000, 0.2500).

---

A relaxed KCdInBrCl crystal, computed with GGA-PBE.

Its distance to the lowest polymorph of the same formula is 59 meV per atom. The magnetization comes out at 0.0 Bohr magnetons per cell. The raw total energy comes out at -2.569 eV per atom. The value obtained for the uncorrected formation energy is -0.915 eV/atom.

The structure belongs to space group Cm (No. 8); the cell edges are 7.6808, 4.4383 and 10.1634 Å and the angles 90.00°, 104.61° and 90.00°. The asymmetric unit holds K at (0.0000, 0.0000, 0.0000), Cd at (0.0286, 0.5000, 0.5901), In at (0.1279, 0.0000, 0.3902), Br at (0.2639, 0.0000, 0.7916) and Cl at (0.2306, 0.5000, 0.1930).

---

A relaxed KCdInBrCl crystal, computed with GGA-PBE.

Its distance to the lowest polymorph of the same formula is 59 meV per atom. The magnetization comes out at 0.0 Bohr magnetons per cell. The raw total energy comes out at -2.568 eV per atom. The value obtained for the uncorrected formation energy is -0.914 eV/atom.

The structure belongs to space group Cm (No. 8); the cell edges are 7.7886, 4.5023 and 9.6083 Å and the angles 90.00°, 90.03° and 90.00°. The asymmetric unit holds K at (0.0000, 0.0000, 0.0000), Cd at (0.3348, 0.0000, 0.6222), In at (0.0011, 0.0000, 0.4324), Br at (0.1669, 0.5000, 0.2325) and Cl at (0.1663, 0.5000, 0.8165).

---

A relaxed KCdInBrCl crystal, computed with GGA-PBE.

Its distance to the lowest polymorph of the same formula is 1 meV per atom. The magnetization comes out at 0.0 Bohr magnetons per cell. The raw total energy comes out at -2.626 eV per atom. The value obtained for the uncorrected formation energy is -0.972 eV/atom.

The structure belongs to space group Cm (No. 8); the cell edges are 5.7959, 5.7957 and 10.0916 Å and the angles 90.00°, 106.59° and 90.00°. The asymmetric unit holds K at (0.0000, 0.0000, 0.0000), Cd at (0.2849, 0.0000, 0.5710), In at (0.2407, 0.5000, 0.4821), Br at (0.1021, 0.5000, 0.2031) and Cl at (0.4209, 0.0000, 0.8415).

---

A relaxed KCdInBrCl crystal, computed with GGA-PBE.

Its distance to the lowest polymorph of the same formula is 52 meV per atom. The magnetization comes out at 0.0 Bohr magnetons per cell. The raw total energy comes out at -2.575 eV per atom. The value obtained for the uncorrected formation energy is -0.921 eV/atom.

The structure belongs to space group P1 (No. 1); the cell edges are 4.4160, 4.5735 and 9.9376 Å and the angles 79.62°, 77.28° and 61.20°. The asymmetric unit holds K at (0.0000, 0.0000, 0.0000), Cd at (0.4321, 0.5266, 0.6175), In at (0.8328, 0.9181, 0.4238), Br at (0.2407, 0.2968, 0.2254) and Cl at (0.7426, 0.6866, 0.8261).

---

A relaxed KCdInBrCl crystal, computed with GGA-PBE.

Its distance to the lowest polymorph of the same formula is 96 meV per atom. The magnetization comes out at 0.0 Bohr magnetons per cell. The raw total energy comes out at -2.532 eV per atom. The value obtained for the uncorrected formation energy is -0.877 eV/atom.

The structure belongs to space group P1 (No. 1); the cell edges are 5.7403, 5.7640 and 6.3953 Å and the angles 89.85°, 89.99° and 60.20°. The asymmetric unit holds K at (0.0000, 0.0000, 0.0000), Cd at (0.3364, 0.3266, 0.5851), In at (0.6672, 0.6656, 0.5187), Br at (0.6674, 0.6648, 0.0352) and Cl at (0.0048, 0.9884, 0.4924).

---

A relaxed KCdInBrCl crystal, computed with GGA-PBE.

Its distance to the lowest polymorph of the same formula is 89 meV per atom. The magnetization comes out at 0.0 Bohr magnetons per cell. The raw total energy comes out at -2.538 eV per atom. The value obtained for the uncorrected formation energy is -0.884 eV/atom.

The structure belongs to space group P1 (No. 1); the cell edges are 5.5666, 6.3316 and 6.4099 Å and the angles 86.48°, 73.19° and 67.33°. The asymmetric unit holds K at (0.0000, 0.0000, 0.0000), Cd at (0.3220, 0.5896, 0.4574), In at (0.8230, 0.5466, 0.5078), Br at (0.6804, 0.6263, 0.9823) and Cl at (0.9769, 0.0808, 0.5043).

---

A relaxed KCdInBrCl crystal, computed with GGA-PBE.

Its distance to the lowest polymorph of the same formula is 66 meV per atom. The magnetization comes out at 0.0 Bohr magnetons per cell. The raw total energy comes out at -2.562 eV per atom. The value obtained for the uncorrected formation energy is -0.908 eV/atom.

The structure belongs to space group Cm (No. 8); the cell edges are 7.6986, 4.4547 and 9.7421 Å and the angles 90.00°, 90.02° and 90.00°. The asymmetric unit holds K at (0.0000, 0.0000, 0.0000), Cd at (0.1682, 0.5000, 0.4120), In at (0.0030, 0.0000, 0.6046), Br at (0.3337, 0.0000, 0.2157) and Cl at (0.3339, 0.0000, 0.8005).

---

A relaxed KCdInBrCl crystal, computed with GGA-PBE.

Its distance to the lowest polymorph of the same formula is 21 meV per atom. The magnetization comes out at 0.0 Bohr magnetons per cell. The raw total energy comes out at -2.606 eV per atom. The value obtained for the uncorrected formation energy is -0.952 eV/atom.

The structure belongs to space group Cm (No. 8); the cell edges are 19.3833, 4.2355 and 4.0962 Å and the angles 90.00°, 101.89° and 90.00°. The asymmetric unit holds K at (0.0000, 0.0000, 0.0000), Cd at (0.2472, 0.5000, 0.7524), In at (0.2952, 0.0000, 0.3001), Br at (0.1324, 0.5000, 0.1390) and Cl at (0.4388, 0.0000, 0.4406).

---

A relaxed KCdInBrCl crystal, computed with GGA-PBE.

Its distance to the lowest polymorph of the same formula is 0 meV per atom. The magnetization comes out at 0.0 Bohr magnetons per cell. The raw total energy comes out at -2.627 eV per atom. The value obtained for the uncorrected formation energy is -0.973 eV/atom.

The structure belongs to space group Cm (No. 8); the cell edges are 5.8041, 5.8010 and 10.0739 Å and the angles 90.00°, 106.64° and 90.00°. The asymmetric unit holds K at (0.0000, 0.0000, 0.0000), Cd at (0.2618, 0.0000, 0.5301), In at (0.2182, 0.5000, 0.4420), Br at (0.4057, 0.0000, 0.8113) and Cl at (0.0864, 0.5000, 0.1739).

---

A relaxed KCdInBrCl crystal, computed with GGA-PBE.

Its distance to the lowest polymorph of the same formula is 58 meV per atom. The magnetization comes out at 0.0 Bohr magnetons per cell. The raw total energy comes out at -2.569 eV per atom. The value obtained for the uncorrected formation energy is -0.915 eV/atom.

The structure belongs to space group Cm (No. 8); the cell edges are 7.9680, 4.3889 and 9.9956 Å and the angles 90.00°, 101.72° and 90.00°. The asymmetric unit holds K at (0.0000, 0.0000, 0.0000), Cd at (0.3258, 0.5000, 0.3857), In at (0.0498, 0.5000, 0.5791), Br at (0.2696, 0.0000, 0.7745) and Cl at (0.3699, 0.0000, 0.1787).

---

A relaxed KCdInBrCl crystal, computed with GGA-PBE.

Its distance to the lowest polymorph of the same formula is 42 meV per atom. The magnetization comes out at 0.0 Bohr magnetons per cell. The raw total energy comes out at -2.585 eV per atom. The value obtained for the uncorrected formation energy is -0.931 eV/atom.

The structure belongs to space group Cm (No. 8); the cell edges are 7.9492, 4.5804 and 9.5857 Å and the angles 90.00°, 106.01° and 90.00°. The asymmetric unit holds K at (0.0000, 0.0000, 0.0000), Cd at (0.2048, 0.0000, 0.6199), In at (0.3084, 0.5000, 0.4290), Br at (0.4085, 0.0000, 0.2271) and Cl at (0.1066, 0.5000, 0.8182).

---

A relaxed KCdInBrCl crystal, computed with GGA-PBE.

Its distance to the lowest polymorph of the same formula is 44 meV per atom. The magnetization comes out at 0.0 Bohr magnetons per cell. The raw total energy comes out at -2.584 eV per atom. The value obtained for the uncorrected formation energy is -0.929 eV/atom.

The structure belongs to space group R3m (No. 160, hexagonal axes); the cell edges are 4.5570, 4.5570 and 27.7723 Å and the angles 90.00°, 90.00° and 120.00°. The asymmetric unit holds K at (0.0000, 0.0000, 0.0000), Cd at (0.0000, 0.0000, 0.8061), In at (0.0000, 0.0000, 0.2038), Br at (0.0000, 0.0000, 0.4058) and Cl at (0.0000, 0.0000, 0.6024).

---

A relaxed KCdInBrCl crystal, computed with GGA-PBE.

Its distance to the lowest polymorph of the same formula is 97 meV per atom. The magnetization comes out at 0.0 Bohr magnetons per cell. The raw total energy comes out at -2.530 eV per atom. The value obtained for the uncorrected formation energy is -0.876 eV/atom.

The structure belongs to space group Pm (No. 6); the cell edges are 4.6117, 4.5484 and 9.3883 Å and the angles 90.00°, 94.87° and 90.00°. The asymmetric unit holds K at (0.0000, 0.0000, 0.0000), Cd at (0.4842, 0.0000, 0.6342), In at (0.5919, 0.5000, 0.3575), Br at (0.5045, 0.5000, 0.0299) and Cl at (0.0156, 0.0000, 0.3286).

---

A relaxed KCdInBrCl crystal, computed with GGA-PBE.

Its distance to the lowest polymorph of the same formula is 61 meV per atom. The magnetization comes out at 0.0 Bohr magnetons per cell. The raw total energy comes out at -2.566 eV per atom. The value obtained for the uncorrected formation energy is -0.912 eV/atom.

The structure belongs to space group Cm (No. 8); the cell edges are 7.7265, 4.4521 and 10.0459 Å and the angles 90.00°, 104.89° and 90.00°. The asymmetric unit holds K at (0.0000, 0.0000, 0.0000), Cd at (0.1395, 0.0000, 0.4149), In at (0.3715, 0.5000, 0.6077), Br at (0.4050, 0.0000, 0.2158) and Cl at (0.1024, 0.5000, 0.8053).

---

A relaxed K2CdBrCl3 crystal, computed with GGA-PBE.

The magnetization comes out at 0.0 Bohr magnetons per cell. The raw total energy comes out at -2.973 eV per atom. The value obtained for the uncorrected formation energy is -1.498 eV/atom.

The structure belongs to space group Immm (No. 71); the cell edges are 5.3239, 5.5210 and 15.7123 Å and the angles 90.00°, 90.00° and 90.00°. The asymmetric unit holds K at (0.0000, 0.0000, 0.1403), Cd at (0.0000, 0.0000, 0.5000), Br at (0.0000, 0.5000, 0.5000), Cl at (0.0000, 0.0000, 0.3348) and Cl at (0.0000, 0.5000, 0.0000).

---

A relaxed KCdBr2Cl crystal, computed with GGA-PBE.

Its distance to the lowest polymorph of the same formula is 46 meV per atom. The magnetization comes out at 0.0 Bohr magnetons per cell. The raw total energy comes out at -2.675 eV per atom. The value obtained for the uncorrected formation energy is -1.234 eV/atom.

The structure belongs to space group P4/mmm (No. 123); the cell edges are 5.5592, 5.5592 and 5.2329 Å and the angles 90.00°, 90.00° and 90.00°. The asymmetric unit holds K at (0.0000, 0.0000, 0.0000), Cd at (0.5000, 0.5000, 0.5000), Br at (0.0000, 0.5000, 0.5000) and Cl at (0.5000, 0.5000, 0.0000).

---

A relaxed K2CdBr3Cl crystal, computed with GGA-PBE.

The magnetization comes out at 0.0 Bohr magnetons per cell. The raw total energy comes out at -2.821 eV per atom. The value obtained for the uncorrected formation energy is -1.396 eV/atom.

The structure belongs to space group Immm (No. 71); the cell edges are 5.3233, 5.5429 and 16.5206 Å and the angles 90.00°, 90.00° and 90.00°. The asymmetric unit holds K at (0.0000, 0.0000, 0.1362), Cd at (0.0000, 0.0000, 0.5000), Br at (0.0000, 0.0000, 0.3338), Br at (0.0000, 0.5000, 0.5000) and Cl at (0.0000, 0.5000, 0.0000).

---

A relaxed KCdBr2Cl crystal, computed with GGA-PBE.

Its distance to the lowest polymorph of the same formula is 0 meV per atom. The magnetization comes out at 0.0 Bohr magnetons per cell. The raw total energy comes out at -2.721 eV per atom. The value obtained for the uncorrected formation energy is -1.280 eV/atom.

The structure belongs to space group P2_1/m (No. 11); the cell edges are 8.6071, 4.2994 and 8.9046 Å and the angles 90.00°, 100.52° and 90.00°. The asymmetric unit holds K at (0.1912, 0.2500, 0.3725), Cd at (0.3524, 0.2500, 0.8303), Br at (0.3232, 0.7500, 0.0453), Br at (0.4121, 0.7500, 0.6376) and Cl at (0.0630, 0.2500, 0.7056).